{"formula": "CrInRe2", "functional": "PBE-GGA", "state": "optimized geometry", "magmom_total_mub_per_atom": 0.65, "formation_energy_kj_per_mol_atoms": 49.0, "density_g_cm3": 14.15, "lattice": [[-2.0902, 2.0902, 3.6215], [2.0902, -2.0902, 3.6215], [2.0902, 2.0902, -3.6215]], "species": ["Cr", "In", "Re", "Re"], "frac_coords": [[0.0000, 0.0000, 0.0000], [0.2500, 0.7500, 0.5000], [0.5000, 0.5000, 0.0000], [0.7500, 0.2500, 0.5000]]}



{"formula": "HfTi2ZnH", "functional": "PBE-GGA", "state": "optimized geometry", "relative_energy_ev_per_atom": 0.1327, "magmom_total_mub_per_atom": 0.00, "density_g_cm3": 7.90, "lattice": [[4.1080, 0.0000, 0.0000], [0.0000, 4.1080, 0.0000], [0.0000, 0.0000, 4.2420]], "species": ["Hf", "Ti", "Ti", "Zn", "H"], "frac_coords": [[0.0000, 0.0000, 0.0000], [0.0000, 0.5000, 0.5000], [0.5000, 0.0000, 0.5000], [0.5000, 0.5000, 0.0000], [0.5000, 0.5000, 0.5000]]}



{"formula": "MgSiSb2", "functional": "PBE-GGA", "state": "optimized geometry", "magmom_total_mub_per_atom": 0.00, "e_form_raw_ev_per_atom": 0.144, "density_g_cm3": 4.61, "lattice": [[1.7903, 1.0336, 9.5915], [-1.7903, 1.0336, 9.5915], [0.0000, -2.0673, 9.5915]], "species": ["Mg", "Si", "Sb", "Sb"], "frac_coords": [[0.0000, 0.0000, 0.0000], [0.2622, 0.2622, 0.2622], [0.5378, 0.5378, 0.5378], [0.7416, 0.7416, 0.7416]]}



{"formula": "CdAgSb2Te", "functional": "PBE-GGA", "state": "optimized geometry", "relative_energy_ev_per_atom": 0.2180, "magmom_total_mub_per_atom": 0.00, "e_form_raw_ev_per_atom": 0.814, "density_g_cm3": 5.73, "lattice": [[5.4926, 0.0000, 0.0000], [0.0000, 5.4926, 0.0000], [0.0000, 0.0000, 5.6813]], "species": ["Cd", "Ag", "Sb", "Sb", "Te"], "frac_coords": [[0.0000, 0.0000, 0.0000], [0.5000, 0.5000, 0.5000], [0.0000, 0.5000, 0.0000], [0.5000, 0.0000, 0.0000], [0.0000, 0.0000, 0.5000]]}